No. 1
Entry from Alexandria via LeMat-Bulk: crystalline Rb2BePtSe at its relaxed geometry (PBE).

Cell and atoms, written as CIF:
```
data_Rb2BePtSe
_cell_length_a 6.650
_cell_length_b 6.650
_cell_length_c 4.668
_cell_angle_alpha 90.00
_cell_angle_beta 90.00
_cell_angle_gamma 90.00
_symmetry_space_group_name_H-M 'P 4/m m m'
_symmetry_Int_Tables_number 123
_symmetry_space_group_name_Hall '-P 4 2'
loop_
_atom_site_label
_atom_site_type_symbol
_atom_site_fract_x
_atom_site_fract_y
_atom_site_fract_z
Rb1 Rb 0.000 0.500 0.000
Be1 Be 0.000 0.000 0.500
Pt1 Pt 0.500 0.500 0.500
Se1 Se 0.500 0.500 0.000
```

Calculated values
uncorrected formation energy = 0.27 eV/atom
VASP energy = -13.81 eV/cell
density of states at the Fermi level = 0.66 states/eV/atom


No. 2
Entry from Alexandria via LeMat-Bulk: crystalline Pr3Sm4DyS8 at its relaxed geometry (PBE).

Cell and atoms, written as CIF:
```
data_Pr3Sm4DyS8
_cell_length_a 8.0733
_cell_length_b 8.0733
_cell_length_c 19.7542
_cell_angle_alpha 90.00
_cell_angle_beta 90.00
_cell_angle_gamma 120.00
_symmetry_space_group_name_H-M 'R -3 m'
_symmetry_Int_Tables_number 166
_symmetry_space_group_name_Hall '-R 3 2"'
loop_
_atom_site_label
_atom_site_type_symbol
_atom_site_fract_x
_atom_site_fract_y
_atom_site_fract_z
Pr1 Pr 0.0000 0.5000 0.0000
Sm1 Sm 0.0000 0.0000 0.5000
Sm2 Sm 0.0000 0.5000 0.5000
Dy1 Dy 0.0000 0.0000 0.0000
S1 S 0.0000 0.0000 0.2469
S2 S 0.0092 0.5046 0.7507
```

Calculated values
uncorrected formation energy = -2.01 eV/atom
VASP energy = -308.99 eV/cell
density of states at the Fermi level = 0.54 states/eV/atom


No. 3
Entry from Alexandria via LeMat-Bulk: crystalline PrAgRh4 at its relaxed geometry (PBE).

Cell and atoms, written as CIF:
```
data_PrAgRh4
_cell_length_a 7.529
_cell_length_b 7.529
_cell_length_c 7.529
_cell_angle_alpha 90.00
_cell_angle_beta 90.00
_cell_angle_gamma 90.00
_symmetry_space_group_name_H-M 'F -4 3 m'
_symmetry_Int_Tables_number 216
_symmetry_space_group_name_Hall 'F -4 2 3'
loop_
_atom_site_label
_atom_site_type_symbol
_atom_site_fract_x
_atom_site_fract_y
_atom_site_fract_z
Pr1 Pr 0.000 0.000 0.000
Ag1 Ag 0.250 0.250 0.750
Rh1 Rh 0.125 0.125 0.375
```

Calculated values
DFT formation energy = -0.24 eV/atom
VASP energy = -153.83 eV/cell
density of states at the Fermi level = 1.49 states/eV/atom


No. 4
Entry from Alexandria via LeMat-Bulk: crystalline PaPdRu2 at its relaxed geometry (PBE).

Cell and atoms, written as CIF:
```
data_PaPdRu2
_cell_length_a 4.7030
_cell_length_b 4.7030
_cell_length_c 11.3906
_cell_angle_alpha 90.00
_cell_angle_beta 90.00
_cell_angle_gamma 120.00
_symmetry_space_group_name_H-M 'R -3 m'
_symmetry_Int_Tables_number 166
_symmetry_space_group_name_Hall '-R 3 2"'
loop_
_atom_site_label
_atom_site_type_symbol
_atom_site_fract_x
_atom_site_fract_y
_atom_site_fract_z
Pa1 Pa 0.0000 0.0000 0.0000
Pd1 Pd 0.0000 0.0000 0.5000
Ru1 Ru 0.0000 0.0000 0.2096
```

Calculated values
DFT formation energy = -0.36 eV/atom
VASP energy = -103.99 eV/cell
energy above the lowest structure with this stoichiometry = 159 meV/atom
density of states at the Fermi level = 0.90 states/eV/atom


No. 5
Entry from Alexandria via LeMat-Bulk: crystalline ZrCoTeI2 at its relaxed geometry (PBE).

Cell and atoms, written as CIF:
```
data_ZrCoTeI2
_cell_length_a 5.789
_cell_length_b 5.789
_cell_length_c 5.605
_cell_angle_alpha 90.00
_cell_angle_beta 90.00
_cell_angle_gamma 90.00
_symmetry_space_group_name_H-M 'P 4/m m m'
_symmetry_Int_Tables_number 123
_symmetry_space_group_name_Hall '-P 4 2'
loop_
_atom_site_label
_atom_site_type_symbol
_atom_site_fract_x
_atom_site_fract_y
_atom_site_fract_z
Zr1 Zr 0.000 0.000 0.000
Co1 Co 0.500 0.500 0.500
Te1 Te 0.000 0.000 0.500
I1 I 0.000 0.500 0.000
```

Calculated values
uncorrected formation energy = 0.43 eV/atom
VASP energy = -19.75 eV/cell
energy above the lowest structure with this stoichiometry = 0 meV/atom
density of states at the Fermi level = 1.54 states/eV/atom


No. 6
Entry from Alexandria via LeMat-Bulk: crystalline Pm3SmPb2 at its relaxed geometry (PBE).

Cell and atoms, written as CIF:
```
data_Pm3SmPb2
_cell_length_a 7.527
_cell_length_b 14.924
_cell_length_c 7.800
_cell_angle_alpha 90.00
_cell_angle_beta 90.00
_cell_angle_gamma 90.00
_symmetry_space_group_name_H-M 'I b a m'
_symmetry_Int_Tables_number 72
_symmetry_space_group_name_Hall '-I 2 2c'
loop_
_atom_site_label
_atom_site_type_symbol
_atom_site_fract_x
_atom_site_fract_y
_atom_site_fract_z
Pm1 Pm 0.000 0.000 0.250
Pm2 Pm 0.000 0.290 0.250
Sm1 Sm 0.000 0.500 0.000
Pb1 Pb 0.181 0.142 0.000
```

Calculated values
DFT formation energy = -0.19 eV/atom
VASP energy = -110.15 eV/cell
energy above the lowest structure with this stoichiometry = 252 meV/atom
density of states at the Fermi level = 1.43 states/eV/atom


No. 7
Entry from Alexandria via LeMat-Bulk: crystalline La2HfTlN at its relaxed geometry (PBE).

Cell and atoms, written as CIF:
```
data_La2HfTlN
_cell_length_a 5.306
_cell_length_b 5.306
_cell_length_c 4.354
_cell_angle_alpha 90.00
_cell_angle_beta 90.00
_cell_angle_gamma 90.00
_symmetry_space_group_name_H-M 'P 4/m m m'
_symmetry_Int_Tables_number 123
_symmetry_space_group_name_Hall '-P 4 2'
loop_
_atom_site_label
_atom_site_type_symbol
_atom_site_fract_x
_atom_site_fract_y
_atom_site_fract_z
La1 La 0.000 0.500 0.000
Hf1 Hf 0.000 0.000 0.500
Tl1 Tl 0.500 0.500 0.500
N1 N 0.000 0.000 0.000
```

Calculated values
uncorrected formation energy = -0.71 eV/atom
VASP energy = -34.05 eV/cell
density of states at the Fermi level = 1.13 states/eV/atom


No. 8
Entry from Alexandria via LeMat-Bulk: crystalline MgCr2Fe2 at its relaxed geometry (PBE).

Cell and atoms, written as CIF:
```
data_MgCr2Fe2
_cell_length_a 3.919
_cell_length_b 3.919
_cell_length_c 8.885
_cell_angle_alpha 90.00
_cell_angle_beta 90.00
_cell_angle_gamma 90.00
_symmetry_space_group_name_H-M 'I 4/m m m'
_symmetry_Int_Tables_number 139
_symmetry_space_group_name_Hall '-I 4 2'
loop_
_atom_site_label
_atom_site_type_symbol
_atom_site_fract_x
_atom_site_fract_y
_atom_site_fract_z
Mg1 Mg 0.000 0.000 0.000
Cr1 Cr 0.000 0.000 0.374
Fe1 Fe 0.000 0.500 0.250
```

Calculated values
DFT formation energy = 0.41 eV/atom
VASP energy = -71.39 eV/cell
energy above the lowest structure with this stoichiometry = 175 meV/atom
density of states at the Fermi level = 1.21 states/eV/atom